No. 1
Below is a relaxed structure of Sb2Pt3, with properties calculated at the PBE-GGA level.

extended XYZ file:
```
10
Lattice="0.0000 6.4586 2.7256 5.5177 0.0000 2.7256 5.5177 6.4586 0.0000" Properties=species:S:1:pos:R:3 pbc="T T T"
Sb 6.5509 2.5149 2.7256
Sb 7.2435 5.7442 4.0884
Sb 4.4846 10.4023 2.7256
Sb 3.7920 7.1730 4.0884
Pt 5.5177 6.4586 0.6642
Pt 2.7589 3.2293 2.0270
Pt 4.9940 4.7504 2.8443
Pt 8.8003 7.9797 4.2071
Pt 6.0415 8.1668 2.8443
Pt 7.7529 11.3961 4.2071
```

Summary:
- SG = No. 43
- ΔE_f (raw) (meV/atom) = -237
- calculated total energy (eV per atom) = -5.51
- V (Å³ per cell) = 194.26


No. 2
Below is a relaxed structure of SbPt2, with properties calculated at the PBE-GGA level.

extended XYZ file:
```
6
Lattice="0.0000 3.8423 3.8423 3.8423 0.0000 3.8423 3.8423 3.8423 0.0000" Properties=species:S:1:pos:R:3 pbc="T T T"
Sb 0.9606 0.9606 0.9606
Sb 6.7241 6.7241 6.7241
Pt 3.8423 1.9212 1.9212
Pt 1.9212 3.8423 1.9212
Pt 1.9212 1.9212 3.8423
Pt 3.8423 3.8423 3.8423
```

Summary:
- SG = No. 227
- ΔE_f (raw) (meV/atom) = -9
- calculated total energy (eV per atom) = -5.41
- V (Å³ per cell) = 113.45


No. 3
Below is a relaxed structure of SbPt, with properties calculated at the PBE-GGA level.

extended XYZ file:
```
12
Lattice="4.7102 0.0000 0.0000 0.0000 10.4382 0.0000 0.0000 0.0000 5.4267" Properties=species:S:1:pos:R:3 pbc="T T T"
Sb 1.1776 0.9295 0.7992
Sb 1.1776 4.2896 0.7992
Sb 1.1776 7.8286 2.4220
Sb 3.5327 2.6096 3.0046
Sb 3.5327 6.1486 4.6275
Sb 3.5327 9.5087 4.6275
Pt 1.1776 2.6096 4.1816
Pt 1.1776 5.3895 3.5797
Pt 1.1776 10.2678 3.5797
Pt 3.5327 0.1704 1.8470
Pt 3.5327 5.0487 1.8470
Pt 3.5327 7.8286 1.2450
```

Summary:
- SG = No. 59
- ΔE_f (raw) (meV/atom) = -329
- calculated total energy (eV per atom) = -5.41
- V (Å³ per cell) = 266.81


No. 4
Below is a relaxed structure of SbPt, with properties calculated at the PBE-GGA level.

extended XYZ file:
```
4
Lattice="4.6119 0.0000 0.0000 0.0000 3.4623 0.0000 0.0000 0.0000 5.1202" Properties=species:S:1:pos:R:3 pbc="T T T"
Sb 1.1530 0.0000 1.2079
Sb 3.4589 0.0000 3.9122
Pt 1.1530 1.7311 3.4835
Pt 3.4589 1.7311 1.6367
```

Summary:
- SG = No. 51
- ΔE_f (raw) (meV/atom) = -113
- calculated total energy (eV per atom) = -5.19
- V (Å³ per cell) = 81.76


No. 5
Below is a relaxed structure of Sb2Pt, with properties calculated at the PBE-GGA level.

extended XYZ file:
```
6
Lattice="3.1103 0.0000 0.0000 0.0000 3.6418 0.0000 0.0000 0.0000 12.5115" Properties=species:S:1:pos:R:3 pbc="T T T"
Sb 0.0000 0.0000 1.6529
Sb 0.0000 0.0000 10.8586
Sb 1.5551 1.8209 4.6028
Sb 1.5551 1.8209 7.9086
Pt 0.0000 0.0000 6.2557
Pt 1.5551 1.8209 0.0000
```

Summary:
- SG = No. 71
- ΔE_f (raw) (meV/atom) = -132
- calculated total energy (eV per atom) = -4.89
- V (Å³ per cell) = 141.72


No. 6
Below is a relaxed structure of SbPt, with properties calculated at the PBE-GGA level.

extended XYZ file:
```
12
Lattice="10.6924 0.0000 0.0000 0.0000 3.8285 0.0000 -4.1015 0.0000 6.0162" Properties=species:S:1:pos:R:3 pbc="T T T"
Sb 0.0000 0.0000 0.0000
Sb -1.7945 1.9143 4.2950
Sb 1.3334 1.9143 2.2211
Sb 5.3462 1.9143 0.0000
Sb 3.5517 0.0000 4.2950
Sb 6.6796 0.0000 2.2211
Pt -1.3719 0.0000 2.3266
Pt 2.8163 0.0000 0.2817
Pt 0.7877 0.0000 4.1463
Pt 3.9743 1.9143 2.3266
Pt 8.1625 1.9143 0.2817
Pt 6.1339 1.9143 4.1463
```

Summary:
- SG = No. 8
- ΔE_f (raw) (meV/atom) = -253
- calculated total energy (eV per atom) = -5.33
- V (Å³ per cell) = 246.28


No. 7
Below is a relaxed structure of Sb2Pt3, with properties calculated at the PBE-GGA level.

extended XYZ file:
```
5
Lattice="4.5050 0.0000 0.0000 -2.2525 3.9014 0.0000 0.0000 0.0000 5.8289" Properties=species:S:1:pos:R:3 pbc="T T T"
Sb 0.0000 2.6009 1.2111
Sb 2.2525 1.3005 4.6178
Pt 0.0000 0.0000 2.9144
Pt 0.0000 2.6009 4.1652
Pt 2.2525 1.3005 1.6636
```

Summary:
- SG = No. 164
- ΔE_f (raw) (meV/atom) = -311
- calculated total energy (eV per atom) = -5.58
- V (Å³ per cell) = 102.45


No. 8
Below is a relaxed structure of SbPt5, with properties calculated at the PBE-GGA level.

extended XYZ file:
```
6
Lattice="0.0000 3.7657 3.7657 3.7657 0.0000 3.7657 3.7657 3.7657 0.0000" Properties=species:S:1:pos:R:3 pbc="T T T"
Sb 0.0000 0.0000 0.0000
Pt 4.7030 2.8284 2.8284
Pt 1.8829 1.8829 1.8829
Pt 2.8284 4.7030 2.8284
Pt 2.8284 2.8284 4.7030
Pt 4.7030 4.7030 4.7030
```

Summary:
- SG = No. 216
- ΔE_f (raw) (meV/atom) = 107
- calculated total energy (eV per atom) = -5.61
- V (Å³ per cell) = 106.80


No. 9
Below is a relaxed structure of SbPt, with properties calculated at the PBE-GGA level.

extended XYZ file:
```
8
Lattice="6.0062 0.0000 0.0000 0.0000 6.0062 0.0000 0.0000 0.0000 6.0062" Properties=species:S:1:pos:R:3 pbc="T T T"
Sb 0.0000 0.0000 0.0000
Sb 0.0000 3.0031 3.0031
Sb 3.0031 0.0000 3.0031
Sb 3.0031 3.0031 0.0000
Pt 1.5015 1.5015 4.5046
Pt 1.5015 4.5046 1.5015
Pt 4.5046 1.5015 1.5015
Pt 4.5046 4.5046 4.5046
```

Summary:
- SG = No. 216
- ΔE_f (raw) (meV/atom) = -165
- calculated total energy (eV per atom) = -5.25
- V (Å³ per cell) = 216.67


No. 10
Below is a relaxed structure of Sb2Pt13, with properties calculated at the PBE-GGA level.

extended XYZ file:
```
15
Lattice="3.6247 2.0927 6.8823 -3.6247 2.0927 6.8823 0.0000 -4.1855 6.8823" Properties=species:S:1:pos:R:3 pbc="T T T"
Sb 0.0000 0.0000 4.1418
Sb 0.0000 0.0000 16.5050
Pt 0.0000 0.0000 0.0000
Pt 0.0000 -2.4490 4.8153
Pt -2.1209 1.2245 4.8153
Pt 0.0000 -1.5011 7.4138
Pt -1.3000 0.7506 7.4138
Pt -2.1209 -1.2245 15.8316
Pt -1.3000 -0.7506 13.2330
Pt 1.3000 0.7506 7.4138
Pt 2.1209 1.2245 4.8152
Pt 1.3000 -0.7506 13.2330
Pt 0.0000 1.5011 13.2330
Pt 2.1209 -1.2245 15.8316
Pt 0.0000 2.4490 15.8316
```

Summary:
- SG = No. 166
- ΔE_f (raw) (meV/atom) = 133
- calculated total energy (eV per atom) = -5.65
- V (Å³ per cell) = 313.23


No. 11
Below is a relaxed structure of SbPt, with properties calculated at the PBE-GGA level.

extended XYZ file:
```
12
Lattice="4.4796 0.0000 0.0000 -2.2398 3.8794 0.0000 0.0000 0.0000 16.5858" Properties=species:S:1:pos:R:3 pbc="T T T"
Sb 0.0000 0.0000 3.9950
Sb 0.0000 0.0000 12.5908
Sb 0.0000 2.5863 1.7667
Sb 0.0000 2.5863 10.0618
Sb 2.2398 1.2931 6.5240
Sb 2.2398 1.2931 14.8190
Pt 0.0000 0.0000 1.3447
Pt 0.0000 0.0000 15.2411
Pt 0.0000 2.5863 4.6013
Pt 0.0000 2.5863 7.3981
Pt 2.2398 1.2931 9.1877
Pt 2.2398 1.2931 11.9845
```

Summary:
- SG = No. 164
- ΔE_f (raw) (meV/atom) = -262
- calculated total energy (eV per atom) = -5.34
- V (Å³ per cell) = 288.23


No. 12
Below is a relaxed structure of SbPt, with properties calculated at the PBE-GGA level.

extended XYZ file:
```
8
Lattice="4.4899 0.0000 0.0000 -2.2449 3.8884 0.0000 0.0000 0.0000 10.8667" Properties=species:S:1:pos:R:3 pbc="T T T"
Sb 0.0000 2.5922 1.1919
Sb 0.0000 2.5922 4.2415
Sb 2.2449 1.2961 6.6253
Sb 2.2449 1.2961 9.6748
Pt 0.0000 0.0000 2.7167
Pt 0.0000 0.0000 8.1501
Pt 0.0000 2.5922 8.1501
Pt 2.2449 1.2961 2.7167
```

Summary:
- SG = No. 194
- ΔE_f (raw) (meV/atom) = 82
- calculated total energy (eV per atom) = -5.00
- V (Å³ per cell) = 189.71